This record from Alexandria describes crystalline Ac4DySe5 at its relaxed geometry. The functional is GGA-PBE.

a b c (Å): 15.8463 15.8463 15.8463
angles (deg): 164.02 164.02 22.67
Sites, in units of the cell vectors:
Ac  0.0996  0.0996  0.0000
Ac  0.3043  0.3043  0.0000
Ac  0.6957  0.6957  0.0000
Ac  0.9004  0.9004  0.0000
Dy  0.5000  0.5000  0.0000
Se  0.0000  0.0000  0.0000
Se  0.2021  0.2021  0.0000
Se  0.4069  0.4069  0.0000
Se  0.5931  0.5931  0.0000
Se  0.7979  0.7979  0.0000

Computed properties:
energy relative to the elements, uncorrected	-1.800	eV/atom
crystal system	tetragonal
magnetic moment	0.0	μB per cell

***

This record from Alexandria describes crystalline AcDySe2 at its relaxed geometry. The functional is GGA-PBE.

a b c (Å): 7.7047 7.7047 7.7047
angles (deg): 31.39 31.39 31.39
Sites, in units of the cell vectors:
Ac  0.0000  0.0000  0.0000
Dy  0.5000  0.5000  0.5000
Se  0.2397  0.2397  0.2397
Se  0.7603  0.7603  0.7603

Computed properties:
energy relative to the elements, uncorrected	-1.802	eV/atom
crystal system	trigonal
magnetic moment	0.0	μB per cell

***

This record from Alexandria describes crystalline AcDy5Se6 at its relaxed geometry. The functional is GGA-PBE.

a b c (Å): 7.1755 7.1755 7.1947
angles (deg): 99.59 99.59 120.18
Sites, in units of the cell vectors:
Ac  0.0000  0.0000  0.0000
Dy  0.1576  0.8424  0.5000
Dy  0.3332  0.6668  0.0000
Dy  0.5000  0.5000  0.5000
Dy  0.6668  0.3332  0.0000
Dy  0.8424  0.1576  0.5000
Se  0.0872  0.4375  0.2619
Se  0.2660  0.2660  0.7467
Se  0.4375  0.0872  0.2619
Se  0.5625  0.9128  0.7381
Se  0.7340  0.7340  0.2533
Se  0.9128  0.5625  0.7381

Computed properties:
energy relative to the elements, uncorrected	-1.746	eV/atom
crystal system	monoclinic
magnetic moment	0.0	μB per cell

***

This record from Alexandria describes crystalline AcDy4Se5 at its relaxed geometry. The functional is GGA-PBE.

a b c (Å): 11.0633 11.0633 11.0633
angles (deg): 158.54 149.00 38.01
Sites, in units of the cell vectors:
Ac  0.0000  0.0000  0.0000
Dy  0.2055  0.2055  0.0000
Dy  0.4002  0.4002  0.0000
Dy  0.5998  0.5998  0.0000
Dy  0.7945  0.7945  0.0000
Se  0.1108  0.6108  0.5000
Se  0.3024  0.8024  0.5000
Se  0.5000  0.0000  0.5000
Se  0.6976  0.1976  0.5000
Se  0.8892  0.3892  0.5000

Computed properties:
energy relative to the elements, uncorrected	-1.732	eV/atom
crystal system	orthorhombic
magnetic moment	0.0	μB per cell

***

This record from Alexandria describes crystalline Ac2DySe4 at its relaxed geometry. The functional is GGA-PBE.

a b c (Å): 7.6661 7.6661 14.4662
angles (deg): 90.00 90.00 148.72
Sites, in units of the cell vectors:
Ac  0.1308  0.8692  0.5764
Ac  0.1308  0.8692  0.9236
Ac  0.8692  0.1308  0.0764
Ac  0.8692  0.1308  0.4236
Dy  0.3706  0.6294  0.7500
Dy  0.6294  0.3706  0.2500
Se  0.0099  0.9901  0.7500
Se  0.2154  0.7846  0.1283
Se  0.2154  0.7846  0.3717
Se  0.5000  0.5000  0.0000
Se  0.5000  0.5000  0.5000
Se  0.7846  0.2154  0.6283
Se  0.7846  0.2154  0.8717
Se  0.9901  0.0099  0.2500

Computed properties:
energy relative to the elements, uncorrected	-1.834	eV/atom
crystal system	orthorhombic
magnetic moment	0.0	μB per cell

***

This record from Alexandria describes crystalline Ac2SmDySe5 at its relaxed geometry. The functional is GGA-PBE.

a b c (Å): 5.1552 5.1552 11.0142
angles (deg): 90.00 90.00 90.00
Sites, in units of the cell vectors:
Ac  0.0000  0.0000  0.2104
Ac  0.0000  0.0000  0.7896
Sm  0.5000  0.5000  0.5000
Dy  0.5000  0.5000  0.0000
Se  0.0000  0.0000  0.5000
Se  0.0000  0.5000  0.0000
Se  0.5000  0.0000  0.0000
Se  0.5000  0.5000  0.2529
Se  0.5000  0.5000  0.7471

Computed properties:
energy relative to the elements, uncorrected	-1.484	eV/atom
crystal system	tetragonal
magnetic moment	0.0	μB per cell

***

This record from Alexandria describes crystalline AcSmDy2Se4 at its relaxed geometry. The functional is GGA-PBE.

a b c (Å): 7.1723 4.1150 7.4924
angles (deg): 90.00 108.46 90.00
Sites, in units of the cell vectors:
Ac  0.0000  0.0000  0.0000
Sm  0.5000  0.5000  0.0000
Dy  0.0000  0.5000  0.5000
Dy  0.5000  0.0000  0.5000
Se  0.2517  0.0000  0.7331
Se  0.2656  0.5000  0.2732
Se  0.7344  0.5000  0.7268
Se  0.7483  0.0000  0.2669

Computed properties:
energy relative to the elements, uncorrected	-1.778	eV/atom
crystal system	monoclinic
magnetic moment	0.0	μB per cell

***

This record from Alexandria describes crystalline Ac3SmDy2Se6 at its relaxed geometry. The functional is GGA-PBE.

a b c (Å): 7.2870 7.2870 7.6705
angles (deg): 99.13 99.13 120.16
Sites, in units of the cell vectors:
Ac  0.0000  0.0000  0.0000
Ac  0.3358  0.6642  0.0000
Ac  0.6642  0.3358  0.0000
Sm  0.5000  0.5000  0.5000
Dy  0.1668  0.8332  0.5000
Dy  0.8332  0.1668  0.5000
Se  0.0866  0.4257  0.2766
Se  0.2344  0.2344  0.7210
Se  0.4257  0.0866  0.2766
Se  0.5743  0.9134  0.7234
Se  0.7656  0.7656  0.2790
Se  0.9134  0.5743  0.7234

Computed properties:
energy relative to the elements, uncorrected	-1.813	eV/atom
crystal system	monoclinic
magnetic moment	0.0	μB per cell